! MoIrBrO2, optimized geometry, DFT PBE with a Hubbard U; values from VASP
! - size of the total moment (μB per cell) = 1.90
! - energy (eV/atom) = -4.1303
! - calculated volume (Å³ per atom) = 16.62
&SYSTEM
  ibrav = 0, nat = 5, ntyp = 4
/
ATOMIC_SPECIES
O 16.00 O.upf
Ir 192.22 Ir.upf
Br 79.90 Br.upf
Mo 95.94 Mo.upf
CELL_PARAMETERS angstrom
3.860 0.000 0.000
0.000 5.575 0.000
0.000 0.000 3.860
ATOMIC_POSITIONS crystal
O 0.500 0.000 0.000
O 0.000 0.000 0.500
Ir 0.500 0.500 0.500
Br 0.000 0.000 0.000
Mo 0.000 0.500 0.000